Computed, not measured: crystalline Pu6Tl2N at its relaxed geometry at the PBE level of DFT.

Computed properties:
- Mass density: 13.81 g/cm3
- Energy relative to the elements, uncorrected: -0.21 eV/atom

Cell lengths 6.8478, 6.8478, 9.6733 Å; angles 90.00, 90.00, 90.00 degrees
Space group I4/mmm (No. 139)
Inequivalent atoms, fractional coordinates:
Pu 0.0000 0.0000 0.2477 (multiplicity 4)
Pu 0.2472 0.2472 0.0000 (multiplicity 8)
Tl 0.0000 0.5000 0.2500 (multiplicity 4)
N 0.0000 0.0000 0.0000 (multiplicity 2)